# 1
A plane-wave DFT calculation with GGA-PBE was carried out for a relaxed TbNd2Ni crystal.

Lattice parameters (Å, degrees): 3.573 3.573 8.677 90.00 90.00 90.00
Fractional positions:
Tb (0.000, 0.000, 0.000)
Nd (0.500, 0.500, 0.307)
Nd (0.500, 0.500, 0.693)
Ni (0.000, 0.000, 0.500)

- Fermi-level density of states: 7.296 states/eV per cell
- Space-group type: No. 123
- E above lowest polymorph: 0.520 eV per formula unit
- Magnetic moment: 0.0 μB/cell
- Calculated total energy: -20.2 eV per cell
- Energy of formation from the pure elements: -0.06 eV/atom

***

# 2
A plane-wave DFT calculation with GGA-PBE was carried out for a relaxed SrCu2Ir crystal.

Lattice parameters (Å, degrees): 4.385 5.065 6.706 90.00 90.00 90.00
Fractional positions:
Sr (0.000, 0.000, 0.000)
Sr (0.500, 0.500, 0.500)
Cu (0.000, 0.500, 0.203)
Cu (0.000, 0.500, 0.797)
Cu (0.500, 0.000, 0.297)
Cu (0.500, 0.000, 0.703)
Ir (0.000, 0.000, 0.500)
Ir (0.500, 0.500, 0.000)

- Fermi-level density of states: 5.898 states/eV per cell
- Space-group type: No. 71
- E above lowest polymorph: 1.325 eV per formula unit
- Magnetic moment: 0.0 μB/cell
- Calculated total energy: -35.5 eV per cell
- Energy of formation from the pure elements: 0.25 eV/atom

***

# 3
A plane-wave DFT calculation with GGA-PBE was carried out for a relaxed SrAuC2 crystal.

Lattice parameters (Å, degrees): 9.998 7.815 4.420 90.00 116.13 90.00
Fractional positions:
Sr (0.250, 0.250, 0.000)
Sr (0.250, 0.750, 0.000)
Sr (0.750, 0.250, 0.000)
Sr (0.750, 0.750, 0.000)
Au (0.088, 0.000, 0.339)
Au (0.412, 0.500, 0.661)
Au (0.588, 0.500, 0.339)
Au (0.912, 0.000, 0.661)
C (0.061, 0.500, 0.149)
C (0.172, 0.500, 0.444)
C (0.328, 0.000, 0.556)
C (0.439, 0.000, 0.851)
C (0.561, 0.000, 0.149)
C (0.672, 0.000, 0.444)
C (0.828, 0.500, 0.556)
C (0.939, 0.500, 0.851)

- Fermi-level density of states: 4.857 states/eV per cell
- Space-group type: No. 12
- E above lowest polymorph: 0.694 eV per formula unit
- Magnetic moment: 0.0 μB/cell
- Calculated total energy: -92.1 eV per cell
- Energy of formation from the pure elements: 0.10 eV/atom

***

# 4
A plane-wave DFT calculation with GGA-PBE was carried out for a relaxed TaInBr2 crystal.

Lattice parameters (Å, degrees): 14.936 3.193 5.282 90.00 106.42 90.00
Fractional positions:
Ta (0.000, 0.000, 0.000)
Ta (0.500, 0.500, 0.000)
In (0.000, 0.500, 0.500)
In (0.500, 0.000, 0.500)
Br (0.150, 0.500, 0.161)
Br (0.350, 0.000, 0.839)
Br (0.650, 0.000, 0.161)
Br (0.850, 0.500, 0.839)

- Fermi-level density of states: 4.782 states/eV per cell
- Space-group type: No. 12
- E above lowest polymorph: 0.469 eV per formula unit
- Formation energy (no corrections): -0.133 eV/atom
- Magnetic moment: 1.3 μB/cell
- Calculated total energy: -36.9 eV per cell

***

# 5
A plane-wave DFT calculation with GGA-PBE was carried out for a relaxed ReBi2F crystal.

Lattice parameters (Å, degrees): 6.851 6.851 6.851 90.00 90.00 90.00
Fractional positions:
Re (0.000, 0.000, 0.000)
Re (0.000, 0.500, 0.500)
Re (0.500, 0.000, 0.500)
Re (0.500, 0.500, 0.000)
Bi (0.250, 0.250, 0.250)
Bi (0.250, 0.250, 0.750)
Bi (0.250, 0.750, 0.250)
Bi (0.250, 0.750, 0.750)
Bi (0.750, 0.250, 0.250)
Bi (0.750, 0.250, 0.750)
Bi (0.750, 0.750, 0.250)
Bi (0.750, 0.750, 0.750)
F (0.000, 0.000, 0.500)
F (0.000, 0.500, 0.000)
F (0.500, 0.000, 0.000)
F (0.500, 0.500, 0.500)

- Fermi-level density of states: 8.592 states/eV per cell
- Space-group type: No. 225
- E above lowest polymorph: 0.000 eV per formula unit
- Formation energy (no corrections): 0.097 eV/atom
- Magnetic moment: 6.6 μB/cell
- Calculated total energy: -86.8 eV per cell

***

# 6
A plane-wave DFT calculation with GGA-PBE was carried out for a relaxed Ac2Al4Ag3Pd crystal.

Lattice parameters (Å, degrees): 4.550 4.550 10.782 90.00 90.00 90.00
Fractional positions:
Ac (0.000, 0.500, 0.245)
Ac (0.500, 0.000, 0.755)
Al (0.000, 0.000, 0.500)
Al (0.000, 0.500, 0.882)
Al (0.500, 0.000, 0.118)
Al (0.500, 0.500, 0.500)
Ag (0.000, 0.000, 0.000)
Ag (0.000, 0.500, 0.634)
Ag (0.500, 0.000, 0.366)
Pd (0.500, 0.500, 0.000)

- Fermi-level density of states: 6.539 states/eV per cell
- Space-group type: No. 115
- Magnetic moment: 0.0 μB/cell
- Calculated total energy: -41.4 eV per cell
- Energy of formation from the pure elements: -0.44 eV/atom

***

# 7
A plane-wave DFT calculation with GGA-PBE was carried out for a relaxed Li2AgIr crystal.

Lattice parameters (Å, degrees): 2.583 4.425 5.273 90.00 104.12 90.00
Fractional positions:
Li (0.000, 0.000, 0.000)
Li (0.130, 0.500, 0.270)
Ag (0.747, 0.000, 0.504)
Ir (0.395, 0.500, 0.796)

- Fermi-level density of states: 1.751 states/eV per cell
- Space-group type: No. 6
- Magnetic moment: 0.0 μB/cell
- Calculated total energy: -15.7 eV per cell
- Energy of formation from the pure elements: -0.04 eV/atom

***

# 8
A plane-wave DFT calculation with GGA-PBE was carried out for a relaxed Ba2TlZnCu crystal.

Lattice parameters (Å, degrees): 6.201 6.201 4.681 90.00 90.00 90.00
Fractional positions:
Ba (0.000, 0.500, 0.000)
Ba (0.500, 0.000, 0.000)
Tl (0.000, 0.000, 0.500)
Zn (0.500, 0.500, 0.500)
Cu (0.500, 0.500, 0.000)

- Fermi-level density of states: 3.947 states/eV per cell
- Space-group type: No. 123
- Magnetic moment: 0.0 μB/cell
- Calculated total energy: -12.1 eV per cell
- Energy of formation from the pure elements: -0.10 eV/atom

***

# 9
A plane-wave DFT calculation with GGA-PBE was carried out for a relaxed LiRe2Ru crystal.

Lattice parameters (Å, degrees): 2.675 4.125 5.161 90.00 102.91 90.00
Fractional positions:
Li (0.000, 0.000, 0.000)
Re (0.474, 0.500, 0.240)
Re (0.526, 0.500, 0.760)
Ru (0.000, 0.000, 0.500)

- Fermi-level density of states: 2.933 states/eV per cell
- Space-group type: No. 10
- E above lowest polymorph: 0.328 eV per formula unit
- Magnetic moment: 0.0 μB/cell
- Calculated total energy: -35.3 eV per cell
- Energy of formation from the pure elements: 0.21 eV/atom

***

# 10
A plane-wave DFT calculation with GGA-PBE was carried out for a relaxed KCeZn2Cl8 crystal.

Lattice parameters (Å, degrees): 10.466 10.466 10.466 36.35 36.35 36.35
Fractional positions:
K (0.000, 0.000, 0.000)
Ce (0.500, 0.500, 0.500)
Zn (0.253, 0.253, 0.253)
Zn (0.747, 0.747, 0.747)
Cl (0.102, 0.441, 0.788)
Cl (0.212, 0.898, 0.559)
Cl (0.328, 0.328, 0.328)
Cl (0.441, 0.788, 0.102)
Cl (0.559, 0.212, 0.898)
Cl (0.672, 0.672, 0.672)
Cl (0.788, 0.102, 0.441)
Cl (0.898, 0.559, 0.212)

- Fermi-level density of states: 8.388 states/eV per cell
- Space-group type: No. 148
- Formation energy (no corrections): -1.603 eV/atom
- Magnetic moment: 1.0 μB/cell
- Calculated total energy: -43.6 eV per cell

***

# 11
A plane-wave DFT calculation with GGA-PBE was carried out for a relaxed Mn2AlW crystal.

Lattice parameters (Å, degrees): 2.652 4.159 4.959 90.00 102.72 90.00
Fractional positions:
Mn (0.000, 0.000, 0.000)
Mn (0.203, 0.500, 0.744)
Al (0.443, 0.000, 0.521)
W (0.751, 0.500, 0.239)

- Fermi-level density of states: 3.694 states/eV per cell
- Space-group type: No. 6
- Magnetic moment: 2.6 μB/cell
- Calculated total energy: -35.0 eV per cell
- Energy of formation from the pure elements: 0.01 eV/atom

***

# 12
A plane-wave DFT calculation with GGA-PBE was carried out for a relaxed LaDy2Se crystal.

Lattice parameters (Å, degrees): 3.728 3.728 31.623 90.00 90.00 120.00
Fractional positions:
La (0.000, 0.000, 0.000)
La (0.333, 0.667, 0.667)
La (0.667, 0.333, 0.333)
Dy (0.000, 0.000, 0.110)
Dy (0.000, 0.000, 0.890)
Dy (0.333, 0.667, 0.557)
Dy (0.333, 0.667, 0.776)
Dy (0.667, 0.333, 0.224)
Dy (0.667, 0.333, 0.443)
Se (0.000, 0.000, 0.500)
Se (0.333, 0.667, 0.167)
Se (0.667, 0.333, 0.833)

- Fermi-level density of states: 16.776 states/eV per cell
- Space-group type: No. 166
- Formation energy (no corrections): -0.609 eV/atom
- Magnetic moment: 0.0 μB/cell
- Calculated total energy: -60.2 eV per cell

***

# 13
A plane-wave DFT calculation with GGA-PBE was carried out for a relaxed ReSi2Au crystal.

Lattice parameters (Å, degrees): 6.202 6.202 6.202 90.00 90.00 90.00
Fractional positions:
Re (0.000, 0.000, 0.000)
Re (0.000, 0.500, 0.500)
Re (0.500, 0.000, 0.500)
Re (0.500, 0.500, 0.000)
Si (0.250, 0.250, 0.250)
Si (0.250, 0.250, 0.750)
Si (0.250, 0.750, 0.250)
Si (0.250, 0.750, 0.750)
Si (0.750, 0.250, 0.250)
Si (0.750, 0.250, 0.750)
Si (0.750, 0.750, 0.250)
Si (0.750, 0.750, 0.750)
Au (0.000, 0.000, 0.500)
Au (0.000, 0.500, 0.000)
Au (0.500, 0.000, 0.000)
Au (0.500, 0.500, 0.500)

- Fermi-level density of states: 4.031 states/eV per cell
- Space-group type: No. 225
- E above lowest polymorph: 1.758 eV per formula unit
- Formation energy (no corrections): 0.421 eV/atom
- Magnetic moment: 0.0 μB/cell
- Calculated total energy: -99.6 eV per cell

***

# 14
A plane-wave DFT calculation with GGA-PBE was carried out for a relaxed TlCr4Cu crystal.

Lattice parameters (Å, degrees): 4.896 4.896 4.896 60.00 60.00 60.00
Fractional positions:
Tl (0.000, 0.000, 0.000)
Cr (0.138, 0.621, 0.621)
Cr (0.621, 0.138, 0.621)
Cr (0.621, 0.621, 0.138)
Cr (0.621, 0.621, 0.621)
Cu (0.250, 0.250, 0.250)

- Fermi-level density of states: 6.286 states/eV per cell
- Space-group type: No. 216
- Magnetic moment: 0.0 μB/cell
- Calculated total energy: -41.3 eV per cell
- Energy of formation from the pure elements: 0.61 eV/atom

***

# 15
A plane-wave DFT calculation with GGA-PBE was carried out for a relaxed AcLaHgRh crystal.

Lattice parameters (Å, degrees): 4.286 4.286 23.877 90.00 90.00 120.00
Fractional positions:
Ac (0.000, 0.000, 0.000)
Ac (0.333, 0.667, 0.667)
Ac (0.667, 0.333, 0.333)
La (0.000, 0.000, 0.199)
La (0.333, 0.667, 0.866)
La (0.667, 0.333, 0.533)
Hg (0.000, 0.000, 0.770)
Hg (0.333, 0.667, 0.436)
Hg (0.667, 0.333, 0.103)
Rh (0.000, 0.000, 0.597)
Rh (0.333, 0.667, 0.264)
Rh (0.667, 0.333, 0.930)

- Fermi-level density of states: 8.200 states/eV per cell
- Space-group type: No. 160
- E above lowest polymorph: 0.000 eV per formula unit
- Magnetic moment: 0.0 μB/cell
- Calculated total energy: -57.3 eV per cell
- Energy of formation from the pure elements: -0.60 eV/atom

***

# 16
A plane-wave DFT calculation with GGA-PBE was carried out for a relaxed HfTi2Te crystal.

Lattice parameters (Å, degrees): 3.327 3.327 26.099 90.00 90.00 120.00
Fractional positions:
Hf (0.000, 0.000, 0.000)
Hf (0.333, 0.667, 0.667)
Hf (0.667, 0.333, 0.333)
Ti (0.000, 0.000, 0.580)
Ti (0.000, 0.000, 0.755)
Ti (0.333, 0.667, 0.247)
Ti (0.333, 0.667, 0.421)
Ti (0.667, 0.333, 0.088)
Ti (0.667, 0.333, 0.913)
Te (0.000, 0.000, 0.168)
Te (0.333, 0.667, 0.834)
Te (0.667, 0.333, 0.501)

- Fermi-level density of states: 8.433 states/eV per cell
- Space-group type: No. 160
- Formation energy (no corrections): -0.062 eV/atom
- Magnetic moment: 0.0 μB/cell
- Calculated total energy: -87.4 eV per cell

***

# 17
A plane-wave DFT calculation with GGA-PBE was carried out for a relaxed Nd5CdCu2 crystal.

Lattice parameters (Å, degrees): 8.755 8.755 8.755 123.84 123.84 83.47
Fractional positions:
Nd (0.000, 0.000, 0.000)
Nd (0.013, 0.513, 0.811)
Nd (0.202, 0.013, 0.500)
Nd (0.298, 0.798, 0.811)
Nd (0.487, 0.298, 0.500)
Nd (0.500, 0.500, 0.000)
Nd (0.513, 0.702, 0.500)
Nd (0.702, 0.202, 0.189)
Nd (0.798, 0.987, 0.500)
Nd (0.987, 0.487, 0.189)
Cd (0.250, 0.250, 0.000)
Cd (0.750, 0.750, 0.000)
Cu (0.127, 0.373, 0.500)
Cu (0.373, 0.873, 0.246)
Cu (0.627, 0.127, 0.754)
Cu (0.873, 0.627, 0.500)

- Fermi-level density of states: 19.519 states/eV per cell
- Space-group type: No. 140
- Magnetic moment: 0.0 μB/cell
- Calculated total energy: -68.0 eV per cell
- Energy of formation from the pure elements: -0.13 eV/atom

***

# 18
A plane-wave DFT calculation with GGA-PBE was carried out for a relaxed HoErThCo crystal.

Lattice parameters (Å, degrees): 6.409 3.705 9.185 90.00 90.02 90.00
Fractional positions:
Ho (0.000, 0.000, 0.000)
Ho (0.500, 0.500, 0.000)
Er (0.166, 0.500, 0.694)
Er (0.666, 0.000, 0.694)
Th (0.165, 0.500, 0.322)
Th (0.665, 0.000, 0.322)
Co (0.499, 0.500, 0.499)
Co (0.999, 0.000, 0.499)

- Fermi-level density of states: 8.987 states/eV per cell
- Space-group type: No. 8
- Magnetic moment: 1.2 μB/cell
- Calculated total energy: -47.3 eV per cell
- Energy of formation from the pure elements: 0.01 eV/atom